(1)
# ScCu8Sn3, optimized geometry, DFT PBE
# E_form ... -0.98 eV per formula unit
# Spin magnetization ... 0.000 μB/atom
data_ScCu8Sn3
_chemical_formula_sum 'Sc1 Cu8 Sn3'
_cell_length_a 5.1097
_cell_length_b 5.1097
_cell_length_c 8.2444
_cell_angle_alpha 90.00
_cell_angle_beta 90.00
_cell_angle_gamma 120.00
_symmetry_space_group_name_H-M 'P 3 m 1'
_symmetry_Int_Tables_number 156
loop_
_symmetry_equiv_pos_as_xyz
'x,y,z'
'-y,x-y,z'
'-x+y,-x,z'
'-y,-x,z'
'-x+y,y,z'
'x,x-y,z'
loop_
_atom_site_label
_atom_site_type_symbol
_atom_site_fract_x
_atom_site_fract_y
_atom_site_fract_z
Sc1 Sc 0.0000 0.0000 0.0000
Cu1 Cu 0.1640 0.3280 0.6889
Cu2 Cu 0.3333 0.6667 0.4424
Cu3 Cu 0.3333 0.6667 0.9385
Cu4 Cu 0.5003 0.0006 0.1879
Sn1 Sn 0.0000 0.0000 0.3679
Sn2 Sn 0.6667 0.3333 0.4966
Sn3 Sn 0.6667 0.3333 0.8872


(2)
# PRhS2I, optimized geometry, DFT PBE
# Spin magnetization ... 0.000 μB/atom
# ΔE_f (raw) ... 2.59 eV per formula unit
# ΔE to the lowest computed polymorph ... 0.0 kJ/mol of formula units
data_PRhS2I
_chemical_formula_sum 'P1 Rh1 S2 I1'
_cell_length_a 4.817
_cell_length_b 4.817
_cell_length_c 4.496
_cell_angle_alpha 90.00
_cell_angle_beta 90.00
_cell_angle_gamma 90.00
_symmetry_space_group_name_H-M 'P 4/m m m'
_symmetry_Int_Tables_number 123
_symmetry_space_group_name_Hall '-P 4 2'
loop_
_atom_site_label
_atom_site_type_symbol
_atom_site_fract_x
_atom_site_fract_y
_atom_site_fract_z
P1 P 0.000 0.000 0.000
Rh1 Rh 0.000 0.000 0.500
S1 S 0.000 0.500 0.500
I1 I 0.500 0.500 0.000


(3)
# BaTlN2, optimized geometry, DFT PBE
# Spin magnetization ... 0.750 μB/atom
# ΔE_f (raw) ... 3.52 eV per formula unit
# ΔE to the lowest computed polymorph ... 146.9 kJ/mol of formula units
data_BaTlN2
_chemical_formula_sum 'Ba4 Tl4 N8'
_cell_length_a 6.844
_cell_length_b 6.844
_cell_length_c 6.844
_cell_angle_alpha 90.00
_cell_angle_beta 90.00
_cell_angle_gamma 90.00
_symmetry_space_group_name_H-M 'F m -3 m'
_symmetry_Int_Tables_number 225
_symmetry_space_group_name_Hall '-F 4 2 3'
loop_
_atom_site_label
_atom_site_type_symbol
_atom_site_fract_x
_atom_site_fract_y
_atom_site_fract_z
Ba1 Ba 0.000 0.000 0.000
Tl1 Tl 0.000 0.000 0.500
N1 N 0.250 0.250 0.250


(4)
# PmHo3N4, optimized geometry, DFT PBE
# Spin magnetization ... 0.000 μB/atom
# ΔE_f (raw) ... -13.12 eV per formula unit
# ΔE to the lowest computed polymorph ... 8.7 kJ/mol of formula units
data_PmHo3N4
_chemical_formula_sum 'Pm1 Ho3 N4'
_cell_length_a 4.943
_cell_length_b 4.943
_cell_length_c 4.943
_cell_angle_alpha 90.00
_cell_angle_beta 90.00
_cell_angle_gamma 90.00
_symmetry_space_group_name_H-M 'P m -3 m'
_symmetry_Int_Tables_number 221
_symmetry_space_group_name_Hall '-P 4 2 3'
loop_
_atom_site_label
_atom_site_type_symbol
_atom_site_fract_x
_atom_site_fract_y
_atom_site_fract_z
Pm1 Pm 0.000 0.000 0.000
Ho1 Ho 0.000 0.500 0.500
N1 N 0.000 0.000 0.500
N2 N 0.500 0.500 0.500


(5)
# Cs2TlI, optimized geometry, DFT PBE
# Spin magnetization ... 0.500 μB/atom
# ΔE_f (raw) ... -1.98 eV per formula unit
# ΔE to the lowest computed polymorph ... 63.3 kJ/mol of formula units
data_Cs2TlI
_chemical_formula_sum 'Cs8 Tl4 I4'
_cell_length_a 9.445
_cell_length_b 9.445
_cell_length_c 9.445
_cell_angle_alpha 90.00
_cell_angle_beta 90.00
_cell_angle_gamma 90.00
_symmetry_space_group_name_H-M 'F m -3 m'
_symmetry_Int_Tables_number 225
_symmetry_space_group_name_Hall '-F 4 2 3'
loop_
_atom_site_label
_atom_site_type_symbol
_atom_site_fract_x
_atom_site_fract_y
_atom_site_fract_z
Cs1 Cs 0.250 0.250 0.250
Tl1 Tl 0.000 0.000 0.000
I1 I 0.000 0.000 0.500


(6)
# Hf2Cd2Pd, optimized geometry, DFT PBE
# E_form ... 0.26 eV per formula unit
# Spin magnetization ... 0.000 μB/atom
data_Hf2Cd2Pd
_chemical_formula_sum 'Hf4 Cd4 Pd2'
_cell_length_a 7.064
_cell_length_b 7.064
_cell_length_c 4.133
_cell_angle_alpha 90.00
_cell_angle_beta 90.00
_cell_angle_gamma 90.00
_symmetry_space_group_name_H-M 'P 4/m b m'
_symmetry_Int_Tables_number 127
_symmetry_space_group_name_Hall '-P 4 2ab'
loop_
_atom_site_label
_atom_site_type_symbol
_atom_site_fract_x
_atom_site_fract_y
_atom_site_fract_z
Hf1 Hf 0.166 0.334 0.000
Cd1 Cd 0.138 0.638 0.500
Pd1 Pd 0.000 0.000 0.500


(7)
# BaB2F8, optimized geometry, DFT PBE
# Spin magnetization ... 0.000 μB/atom
# ΔE_f (raw) ... -35.58 eV per formula unit
# ΔE to the lowest computed polymorph ... 0.0 kJ/mol of formula units
data_BaB2F8
_chemical_formula_sum 'Ba2 B4 F16'
_cell_length_a 12.749
_cell_length_b 5.097
_cell_length_c 4.882
_cell_angle_alpha 90.00
_cell_angle_beta 112.38
_cell_angle_gamma 90.00
_symmetry_space_group_name_H-M 'C 1 2/m 1'
_symmetry_Int_Tables_number 12
loop_
_symmetry_equiv_pos_as_xyz
'x,y,z'
'-x,-y,-z'
'-x,y,-z'
'x,-y,z'
'x+1/2,y+1/2,z'
'-x+1/2,-y+1/2,-z'
'-x+1/2,y+1/2,-z'
'x+1/2,-y+1/2,z'
loop_
_atom_site_label
_atom_site_type_symbol
_atom_site_fract_x
_atom_site_fract_y
_atom_site_fract_z
Ba1 Ba 0.000 0.000 0.000
B1 B 0.152 0.500 0.707
F1 F 0.101 0.500 0.924
F2 F 0.115 0.272 0.531
F3 F 0.230 0.000 0.153


(8)
# TiPtRhC2, optimized geometry, DFT PBE
# E_form ... 8.61 eV per formula unit
# Spin magnetization ... 0.000 μB/atom
data_TiPtRhC2
_chemical_formula_sum 'Ti1 Pt1 Rh1 C2'
_cell_length_a 3.970
_cell_length_b 3.970
_cell_length_c 4.817
_cell_angle_alpha 90.00
_cell_angle_beta 90.00
_cell_angle_gamma 90.00
_symmetry_space_group_name_H-M 'P 4/m m m'
_symmetry_Int_Tables_number 123
_symmetry_space_group_name_Hall '-P 4 2'
loop_
_atom_site_label
_atom_site_type_symbol
_atom_site_fract_x
_atom_site_fract_y
_atom_site_fract_z
Ti1 Ti 0.000 0.000 0.000
Pt1 Pt 0.000 0.000 0.500
Rh1 Rh 0.500 0.500 0.500
C1 C 0.000 0.500 0.000


(9)
# Na2Mg2Ni, optimized geometry, DFT PBE
# E_form ... 1.10 eV per formula unit
# Spin magnetization ... 0.000 μB/atom
data_Na2Mg2Ni
_chemical_formula_sum 'Na4 Mg4 Ni2'
_cell_length_a 6.655
_cell_length_b 6.655
_cell_length_c 5.583
_cell_angle_alpha 90.00
_cell_angle_beta 90.00
_cell_angle_gamma 90.00
_symmetry_space_group_name_H-M 'P 4/m b m'
_symmetry_Int_Tables_number 127
_symmetry_space_group_name_Hall '-P 4 2ab'
loop_
_atom_site_label
_atom_site_type_symbol
_atom_site_fract_x
_atom_site_fract_y
_atom_site_fract_z
Na1 Na 0.180 0.320 0.000
Mg1 Mg 0.165 0.665 0.500
Ni1 Ni 0.000 0.000 0.500


(10)
# ZnCoW2, optimized geometry, DFT PBE
# E_form ... 1.05 eV per formula unit
# Spin magnetization ... 0.316 μB/atom
data_ZnCoW2
_chemical_formula_sum 'Zn1 Co1 W2'
_cell_length_a 3.777
_cell_length_b 3.777
_cell_length_c 3.981
_cell_angle_alpha 90.00
_cell_angle_beta 90.00
_cell_angle_gamma 90.00
_symmetry_space_group_name_H-M 'P 4/m m m'
_symmetry_Int_Tables_number 123
_symmetry_space_group_name_Hall '-P 4 2'
loop_
_atom_site_label
_atom_site_type_symbol
_atom_site_fract_x
_atom_site_fract_y
_atom_site_fract_z
Zn1 Zn 0.000 0.000 0.000
Co1 Co 0.500 0.500 0.000
W1 W 0.000 0.500 0.500


(11)
# CaLaCo2, optimized geometry, DFT PBE
# E_form ... 0.90 eV per formula unit
# Spin magnetization ... 0.354 μB/atom
data_CaLaCo2
_chemical_formula_sum 'Ca1 La1 Co2'
_cell_length_a 4.881
_cell_length_b 4.881
_cell_length_c 3.453
_cell_angle_alpha 90.00
_cell_angle_beta 90.00
_cell_angle_gamma 90.00
_symmetry_space_group_name_H-M 'P 4/m m m'
_symmetry_Int_Tables_number 123
_symmetry_space_group_name_Hall '-P 4 2'
loop_
_atom_site_label
_atom_site_type_symbol
_atom_site_fract_x
_atom_site_fract_y
_atom_site_fract_z
Ca1 Ca 0.000 0.000 0.000
La1 La 0.500 0.500 0.000
Co1 Co 0.000 0.500 0.500


(12)
# Ca2Os2O7, optimized geometry, DFT PBE
# Spin magnetization ... 0.066 μB/atom
# ΔE_f (raw) ... -19.73 eV per formula unit
# ΔE to the lowest computed polymorph ... 0.0 kJ/mol of formula units
data_Ca2Os2O7
_chemical_formula_sum 'Ca8 Os8 O28'
_cell_length_a 7.258
_cell_length_b 10.238
_cell_length_c 7.482
_cell_angle_alpha 90.00
_cell_angle_beta 90.00
_cell_angle_gamma 90.00
_symmetry_space_group_name_H-M 'I m m a'
_symmetry_Int_Tables_number 74
_symmetry_space_group_name_Hall '-I 2b 2'
loop_
_atom_site_label
_atom_site_type_symbol
_atom_site_fract_x
_atom_site_fract_y
_atom_site_fract_z
Ca1 Ca 0.000 0.000 0.000
Ca2 Ca 0.250 0.250 0.250
Os1 Os 0.000 0.000 0.500
Os2 Os 0.250 0.250 0.750
O1 O 0.000 0.097 0.269
O2 O 0.000 0.250 0.835
O3 O 0.202 0.117 0.568


(13)
# NdHoNiPt, optimized geometry, DFT PBE
# E_form ... -3.21 eV per formula unit
# Spin magnetization ... 0.000 μB/atom
# ΔE to the lowest computed polymorph ... 0.0 kJ/mol of formula units
data_NdHoNiPt
_chemical_formula_sum 'Nd2 Ho2 Ni2 Pt2'
_cell_length_a 4.444
_cell_length_b 3.888
_cell_length_c 10.287
_cell_angle_alpha 90.00
_cell_angle_beta 90.00
_cell_angle_gamma 90.00
_symmetry_space_group_name_H-M 'A m m 2'
_symmetry_Int_Tables_number 38
loop_
_symmetry_equiv_pos_as_xyz
'x,y,z'
'-x,-y,z'
'-x,y,z'
'x,-y,z'
'x,y+1/2,z+1/2'
'-x,-y+1/2,z+1/2'
'-x,y+1/2,z+1/2'
'x,-y+1/2,z+1/2'
loop_
_atom_site_label
_atom_site_type_symbol
_atom_site_fract_x
_atom_site_fract_y
_atom_site_fract_z
Nd1 Nd 0.000 0.000 0.000
Ho1 Ho 0.500 0.000 0.720
Ni1 Ni 0.000 0.000 0.277
Pt1 Pt 0.500 0.000 0.432


(14)
# CdFe, optimized geometry, DFT PBE
# E_form ... 0.83 eV per formula unit
# Spin magnetization ... 1.250 μB/atom
data_CdFe
_chemical_formula_sum 'Cd2 Fe2'
_cell_length_a 2.8444
_cell_length_b 2.8444
_cell_length_c 9.2912
_cell_angle_alpha 90.00
_cell_angle_beta 90.00
_cell_angle_gamma 120.00
_symmetry_space_group_name_H-M 'P 63/m m c'
_symmetry_Int_Tables_number 194
_symmetry_space_group_name_Hall '-P 6c 2c'
loop_
_atom_site_label
_atom_site_type_symbol
_atom_site_fract_x
_atom_site_fract_y
_atom_site_fract_z
Cd1 Cd 0.0000 0.0000 0.0000
Fe1 Fe 0.3333 0.6667 0.2500


(15)
# Mg2Pa2Si4Ir, optimized geometry, DFT PBE
# Spin magnetization ... 0.000 μB/atom
# ΔE_f (raw) ... -3.01 eV per formula unit
data_Mg2Pa2Si4Ir
_chemical_formula_sum 'Mg4 Pa4 Si8 Ir2'
_cell_length_a 6.273
_cell_length_b 6.273
_cell_length_c 8.435
_cell_angle_alpha 90.00
_cell_angle_beta 90.00
_cell_angle_gamma 90.00
_symmetry_space_group_name_H-M 'I 4/m m m'
_symmetry_Int_Tables_number 139
_symmetry_space_group_name_Hall '-I 4 2'
loop_
_atom_site_label
_atom_site_type_symbol
_atom_site_fract_x
_atom_site_fract_y
_atom_site_fract_z
Mg1 Mg 0.000 0.000 0.204
Pa1 Pa 0.000 0.500 0.250
Si1 Si 0.230 0.230 0.000
Ir1 Ir 0.000 0.000 0.500


(16)
# K3Cu2Br2F4, optimized geometry, DFT PBE
# Spin magnetization ... 0.095 μB/atom
# ΔE_f (raw) ... -19.19 eV per formula unit
data_K3Cu2Br2F4
_chemical_formula_sum 'K6 Cu4 Br4 F8'
_cell_length_a 4.266
_cell_length_b 4.266
_cell_length_c 24.229
_cell_angle_alpha 90.00
_cell_angle_beta 90.00
_cell_angle_gamma 90.00
_symmetry_space_group_name_H-M 'I 4/m m m'
_symmetry_Int_Tables_number 139
_symmetry_space_group_name_Hall '-I 4 2'
loop_
_atom_site_label
_atom_site_type_symbol
_atom_site_fract_x
_atom_site_fract_y
_atom_site_fract_z
K1 K 0.000 0.000 0.000
K2 K 0.000 0.000 0.155
Cu1 Cu 0.000 0.000 0.413
Br1 Br 0.000 0.000 0.309
F1 F 0.000 0.500 0.073


(17)
# TaFeAu, optimized geometry, DFT PBE
# E_form ... 0.24 eV per formula unit
# Spin magnetization ... 0.778 μB/atom
# ΔE to the lowest computed polymorph ... 29.6 kJ/mol of formula units
data_TaFeAu
_chemical_formula_sum 'Ta4 Fe4 Au4'
_cell_length_a 3.584
_cell_length_b 4.262
_cell_length_c 12.548
_cell_angle_alpha 90.00
_cell_angle_beta 90.00
_cell_angle_gamma 90.00
_symmetry_space_group_name_H-M 'F m m 2'
_symmetry_Int_Tables_number 42
_symmetry_space_group_name_Hall 'F 2 -2'
loop_
_atom_site_label
_atom_site_type_symbol
_atom_site_fract_x
_atom_site_fract_y
_atom_site_fract_z
Ta1 Ta 0.000 0.000 0.000
Fe1 Fe 0.000 0.000 0.344
Au1 Au 0.000 0.000 0.681


(18)
# Ac3NdOs, optimized geometry, DFT PBE
# E_form ... -0.28 eV per formula unit
# Spin magnetization ... 0.000 μB/atom
# ΔE to the lowest computed polymorph ... 0.0 kJ/mol of formula units
data_Ac3NdOs
_chemical_formula_sum 'Ac12 Nd4 Os4'
_cell_length_a 12.605
_cell_length_b 9.572
_cell_length_c 8.855
_cell_angle_alpha 90.00
_cell_angle_beta 134.40
_cell_angle_gamma 90.00
_symmetry_space_group_name_H-M 'C 1 2/m 1'
_symmetry_Int_Tables_number 12
loop_
_symmetry_equiv_pos_as_xyz
'x,y,z'
'-x,-y,-z'
'-x,y,-z'
'x,-y,z'
'x+1/2,y+1/2,z'
'-x+1/2,-y+1/2,-z'
'-x+1/2,y+1/2,-z'
'x+1/2,-y+1/2,z'
loop_
_atom_site_label
_atom_site_type_symbol
_atom_site_fract_x
_atom_site_fract_y
_atom_site_fract_z
Ac1 Ac 0.047 0.000 0.341
Ac2 Ac 0.248 0.297 0.787
Nd1 Nd 0.042 0.500 0.238
Os1 Os 0.248 0.500 0.156


(19)
# Sr3Ir2O7, optimized geometry, DFT PBE
# Spin magnetization ... 0.000 μB/atom
# ΔE_f (raw) ... -21.55 eV per formula unit
# ΔE to the lowest computed polymorph ... 0.0 kJ/mol of formula units
data_Sr3Ir2O7
_chemical_formula_sum 'Sr12 Ir8 O28'
_cell_length_a 5.556
_cell_length_b 21.208
_cell_length_c 5.558
_cell_angle_alpha 90.00
_cell_angle_beta 90.00
_cell_angle_gamma 90.00
_symmetry_space_group_name_H-M 'C c c e'
_symmetry_Int_Tables_number 68
loop_
_symmetry_equiv_pos_as_xyz
'x,y,z'
'-x,-y,-z'
'-x+1/2,-y,z'
'x+1/2,y,-z'
'x+1/2,-y,-z+1/2'
'-x+1/2,y,z+1/2'
'-x,y,-z+1/2'
'x,-y,z+1/2'
'x+1/2,y+1/2,z'
'-x+1/2,-y+1/2,-z'
'-x,-y+1/2,z'
'x,y+1/2,-z'
'x,-y+1/2,-z+1/2'
'-x,y+1/2,z+1/2'
'-x+1/2,y+1/2,-z+1/2'
'x+1/2,-y+1/2,z+1/2'
loop_
_atom_site_label
_atom_site_type_symbol
_atom_site_fract_x
_atom_site_fract_y
_atom_site_fract_z
Sr1 Sr 0.000 0.062 0.250
Sr2 Sr 0.000 0.250 0.250
Ir1 Ir 0.000 0.153 0.750
O1 O 0.000 0.056 0.750
O2 O 0.000 0.250 0.750
O3 O 0.189 0.153 0.061


(20)
# Tm8SbOs2, optimized geometry, DFT PBE
# Spin magnetization ... 0.000 μB/atom
# ΔE_f (raw) ... -3.84 eV per formula unit
data_Tm8SbOs2
_chemical_formula_sum 'Tm16 Sb2 Os4'
_cell_length_a 17.530
_cell_length_b 4.908
_cell_length_c 7.023
_cell_angle_alpha 90.00
_cell_angle_beta 111.53
_cell_angle_gamma 90.00
_symmetry_space_group_name_H-M 'C 1 m 1'
_symmetry_Int_Tables_number 8
loop_
_symmetry_equiv_pos_as_xyz
'x,y,z'
'x,-y,z'
'x+1/2,y+1/2,z'
'x+1/2,-y+1/2,z'
loop_
_atom_site_label
_atom_site_type_symbol
_atom_site_fract_x
_atom_site_fract_y
_atom_site_fract_z
Tm1 Tm 0.000 0.000 0.000
Tm2 Tm 0.027 0.500 0.352
Tm3 Tm 0.117 0.000 0.742
Tm4 Tm 0.179 0.500 0.091
Tm5 Tm 0.235 0.500 0.652
Tm6 Tm 0.315 0.000 0.205
Tm7 Tm 0.368 0.000 0.806
Tm8 Tm 0.421 0.500 0.495
Sb1 Sb 0.171 0.000 0.374
Os1 Os 0.021 0.500 0.746
Os2 Os 0.344 0.500 0.047